# 1
{"formula": "Cs6Na2H", "functional": "GGA-PBE", "state": "relaxed", "spacegroup": "P2_1/c, No. 14", "rho_g_cm3": 2.14, "total_energy_ev_per_atom": -1.237, "lattice": [[9.2997, 0.2671, 0.0000], [-1.8101, 10.8673, 0.0000], [0.0000, 0.0000, 12.8894]], "species": ["Na", "Na", "Cs", "Cs", "Cs", "Cs", "Cs", "Cs", "Cs", "Cs", "Na", "H", "H", "Cs", "Cs", "Cs", "Na", "Cs"], "fractional_positions": [[0.9242, 0.6559, 0.4395], [0.5758, 0.8441, 0.9395], [0.3399, 0.0617, 0.7222], [0.8942, 0.2020, 0.9637], [0.1058, 0.7980, 0.0363], [0.3942, 0.7020, 0.5363], [0.6058, 0.2980, 0.4637], [0.7053, 0.5235, 0.1311], [0.7947, 0.9765, 0.6311], [0.1601, 0.4383, 0.2222], [0.4242, 0.1559, 0.0605], [0.0000, 0.5000, 0.0000], [0.5000, 0.0000, 0.5000], [0.6601, 0.9383, 0.2778], [0.2053, 0.0235, 0.3689], [0.8399, 0.5617, 0.7778], [0.0758, 0.3441, 0.5605], [0.2947, 0.4765, 0.8689]]}



# 2
{"formula": "CsCd3Pb", "functional": "GGA-PBE", "state": "relaxed", "spacegroup": "P2_1/c, No. 14", "rho_g_cm3": 6.43, "formation_enthalpy_0k_kj_per_mol_atoms": -3, "lattice": [[7.4321, 0.0000, 0.0000], [0.0000, 9.2151, -3.2667], [0.0000, 0.2621, 10.1191]], "species": ["Cs", "Pb", "Cd", "Cd", "Cs", "Cd", "Cd", "Cd", "Cd", "Cd", "Pb", "Cs", "Pb", "Cd", "Cd", "Cs", "Cd", "Pb", "Cd", "Cd"], "fractional_positions": [[0.5716, 0.3698, 0.3011], [0.1563, 0.9118, 0.5503], [0.9553, 0.8219, 0.8790], [0.5447, 0.8219, 0.3790], [0.0716, 0.6302, 0.1989], [0.4553, 0.1781, 0.6210], [0.0447, 0.1781, 0.1210], [0.0579, 0.3565, 0.4196], [0.5579, 0.6435, 0.0804], [0.7677, 0.9217, 0.1533], [0.3437, 0.9118, 0.0503], [0.9284, 0.3698, 0.8011], [0.6563, 0.0882, 0.9497], [0.9421, 0.6435, 0.5804], [0.7323, 0.9217, 0.6533], [0.4284, 0.6302, 0.6989], [0.2677, 0.0783, 0.3467], [0.8437, 0.0882, 0.4497], [0.4421, 0.3565, 0.9196], [0.2323, 0.0783, 0.8467]]}



# 3
{"formula": "CaHg2Os", "functional": "GGA-PBE", "state": "relaxed", "spacegroup": "Pm, No. 6", "rho_g_cm3": 12.57, "formation_enthalpy_0k_kj_per_mol_atoms": 41, "lattice": [[4.3438, 0.0000, 0.0000], [0.0000, 3.1480, 0.0790], [0.0000, 3.0164, 6.1782]], "species": ["Ca", "Os", "Hg", "Hg"], "fractional_positions": [[0.5000, 0.7602, 0.7404], [0.0000, 0.5180, 0.4821], [0.0000, 0.9952, 0.0045], [0.5000, 0.2266, 0.2730]]}



# 4
{"formula": "YUZn17", "functional": "GGA-PBE", "state": "relaxed", "spacegroup": "R3m, No. 160", "rho_g_cm3": 7.81, "formation_enthalpy_0k_kj_per_mol_atoms": -14, "lattice": [[6.7394, 0.0277, 0.8261], [0.7344, 6.6993, 0.8261], [0.0308, 0.0277, 6.7898]], "species": ["Zn", "Zn", "Zn", "Zn", "Zn", "Zn", "Zn", "Zn", "U", "Zn", "Zn", "Zn", "Zn", "Zn", "Zn", "Zn", "Zn", "Zn", "Y"], "fractional_positions": [[0.2968, 0.7033, 0.0000], [0.7033, 0.2968, 0.0000], [0.0000, 0.2968, 0.7033], [0.0000, 0.7033, 0.2968], [0.7033, 0.0000, 0.2968], [0.6457, 0.6457, 0.1632], [0.1632, 0.6457, 0.6457], [0.0011, 0.4994, 0.0011], [0.3358, 0.3358, 0.3358], [0.3517, 0.8400, 0.3517], [0.4994, 0.0011, 0.0011], [0.3517, 0.3517, 0.8400], [0.2968, 0.0000, 0.7033], [0.9002, 0.9002, 0.9002], [0.8400, 0.3517, 0.3517], [0.0011, 0.0011, 0.4994], [0.1007, 0.1007, 0.1007], [0.6457, 0.1632, 0.6457], [0.6635, 0.6635, 0.6635]]}



Number 1: DOS(E_F) 7.05 states/eV/f.u.. Number 2: DOS(E_F) 2.42 states/eV/f.u.. Number 3: DOS(E_F) 2.40 states/eV/f.u.. Number 4: DOS(E_F) 10.46 states/eV/f.u..